Entry 1:
VASP calculation (PBE) on a geometry-optimized AgIrAu2 structure.

Structure (POSCAR):
```
AgIrAu2
1.0
-2.126 2.126 3.768
2.126 -2.126 3.768
2.126 2.126 -3.768
Ag Ir Au
1 1 2
Cartesian
0.000 0.000 0.000
0.000 0.000 3.768
2.126 0.000 1.884
0.000 2.126 1.884
```

Values from the calculation:
SG: I4/mmm (139)
Calculated formation energy, eV/atom: 0.359
Excess energy over the best structure of this formula in the dataset, eV/atom: 0.137

Entry 2:
VASP calculation (PBE) on a geometry-optimized K4NaNp3O12 structure.

Structure (POSCAR):
```
K4NaNp3O12
1.0
-4.319 4.319 4.319
4.319 -4.319 4.319
4.319 4.319 -4.319
K Na Np O
4 1 3 12
Cartesian
2.159 2.159 -2.159
2.159 -2.159 2.159
-2.159 2.159 2.159
2.159 2.159 2.159
0.000 0.000 0.000
4.319 0.000 0.000
0.000 4.319 0.000
0.000 0.000 4.319
2.428 0.000 0.000
6.210 0.000 0.000
4.319 2.159 0.000
4.319 0.000 2.159
0.000 2.428 0.000
0.000 0.000 2.428
2.159 4.319 0.000
2.159 0.000 4.319
0.000 6.210 0.000
0.000 0.000 6.210
0.000 4.319 2.159
0.000 2.159 4.319
```

Values from the calculation:
SG: Im-3m (229)
Energy relative to the elements, uncorrected, eV per formula unit: -50.33

Entry 3:
VASP calculation (PBE) on a geometry-optimized TbY3Er5 structure.

Structure (POSCAR):
```
TbY3Er5
1.0
8.990 -3.141 0.000
8.990 3.141 0.000
-4.127 0.000 10.571
Tb Y Er
2 6 10
Cartesian
5.895 2.335 7.928
7.958 -2.335 2.643
0.000 0.000 0.000
-2.063 0.000 5.285
4.124 1.167 5.147
11.793 1.167 0.139
2.061 -1.167 10.432
9.730 -1.167 5.424
5.413 2.025 1.319
2.681 1.344 8.318
10.504 2.025 3.966
7.958 0.661 2.643
9.110 1.344 7.538
4.744 -1.344 3.032
5.895 -0.661 7.928
3.350 -2.025 6.604
11.173 -1.344 2.253
8.441 -2.025 9.252
```

Values from the calculation:
SG: C2/c (15)
Calculated formation energy, eV/atom: 0.306
Excess energy over the best structure of this formula in the dataset, eV/atom: 0.000

| no. | total moment (μB/f.u.) | density of states at the Fermi level (states/eV/cell) |
| --- | --- | --- |
| 1 | 0.00 | 4.43 |
| 2 | 2.00 | 11.66 |
| 3 | 0.00 | 25.46 |